## Rb3O2F (PBE-GGA)

Data for Rb3O2F after structural relaxation.

a = 7.2042 Å, b = 7.2042 Å, c = 6.0253 Å
α = 90.00°, β = 90.00°, γ = 120.00°
Fractional coordinates of all 12 atoms:
Rb 0.6425 0.8213 0.2500
Rb 0.1787 0.3575 0.2500
Rb 0.1787 0.8213 0.2500
Rb 0.3575 0.1787 0.7500
Rb 0.8213 0.6425 0.7500
Rb 0.8213 0.1787 0.7500
O 0.3333 0.6667 0.8776
O 0.6667 0.3333 0.3776
O 0.6667 0.3333 0.1224
O 0.3333 0.6667 0.6224
F 0.0000 0.0000 0.0000
F 0.0000 0.0000 0.5000

Summary:
Space-group type: P6_3/mmc (194)
Raw total energy (eV/atom): -3.80
Total magnetization (μB per formula unit): 0.0
Crystal system: hexagonal


## Rb4O2F (PBE-GGA)

Data for Rb4O2F after structural relaxation.

a = 4.0982 Å, b = 7.2007 Å, c = 6.9332 Å
α = 92.97°, β = 90.00°, γ = 90.00°
Each line ends with the local moment (μB).
Fractional coordinates of all 7 atoms:
Rb 0.0000 0.6956 0.1925  0.01
Rb 0.5000 0.1554 0.2419  0.00
Rb 0.5000 0.8446 0.7581  0.00
Rb 0.0000 0.3044 0.8075  0.01
O 0.5000 0.5000 0.0000  0.36
O 0.0000 0.0000 0.0000  0.41
F 0.0000 0.0000 0.5000  0.00

Summary:
Space-group type: P2/m (10)
Raw total energy (eV/atom): -3.57
Total magnetization (μB per formula unit): 1.0
Crystal system: monoclinic


## Rb2OF (PBE-GGA)

Data for Rb2OF after structural relaxation.

a = 4.9444 Å, b = 4.9444 Å, c = 4.9444 Å
α = 60.00°, β = 60.00°, γ = 60.00°
Each line ends with the local moment (μB).
Fractional coordinates of all 4 atoms:
O 0.0000 0.0000 0.0000  0.74
Rb 0.2500 0.2500 0.2500  0.01
Rb 0.7500 0.7500 0.7500  0.01
F 0.5000 0.5000 0.5000  0.02

Summary:
Space-group type: Fm-3m (225)
Raw total energy (eV/atom): -3.68
Total magnetization (μB per formula unit): 1.0
Crystal system: cubic
Energy above the lowest structure with this stoichiometry (eV per atom): 0.031


## Rb7O2F2 (PBE-GGA)

Data for Rb7O2F2 after structural relaxation.

a = 7.3625 Å, b = 7.8237 Å, c = 7.8237 Å
α = 111.36°, β = 94.41°, γ = 94.41°
Fractional coordinates of all 11 atoms:
Rb 0.3021 0.9386 0.5893
Rb 0.6979 0.4107 0.0614
Rb 0.6979 0.0614 0.4107
Rb 0.3021 0.5893 0.9386
Rb 0.0000 0.0000 0.0000
Rb 0.7748 0.5680 0.5680
Rb 0.2252 0.4320 0.4320
O 0.8767 0.2770 0.2770
O 0.1233 0.7230 0.7230
F 0.5000 0.3139 0.6861
F 0.5000 0.6861 0.3139

Summary:
Space-group type: C2/m (12)
Raw total energy (eV/atom): -3.26
Total magnetization (μB per formula unit): 0.0
Crystal system: monoclinic


## RbO12F7 (PBE-GGA)

Data for RbO12F7 after structural relaxation.

a = 6.9465 Å, b = 6.9465 Å, c = 6.9465 Å
α = 106.71°, β = 106.71°, γ = 106.71°
Each line ends with the local moment (μB).
Fractional coordinates of all 20 atoms:
Rb 0.0000 0.0000 0.0000  0.01
O 0.6158 0.2090 0.3610  1.79
O 0.6390 0.3842 0.7910  1.79
O 0.0156 0.5770 0.6629  1.71
O 0.3371 0.9844 0.4230  1.71
O 0.7910 0.6390 0.3842  1.79
O 0.4230 0.3371 0.9844  1.71
O 0.5770 0.6629 0.0156  1.71
O 0.2090 0.3610 0.6158  1.79
O 0.6629 0.0156 0.5770  1.71
O 0.9844 0.4230 0.3371  1.71
O 0.3610 0.6158 0.2090  1.79
O 0.3842 0.7910 0.6390  1.79
F 0.3741 0.9028 0.1233  0.68
F 0.8767 0.6259 0.0972  0.68
F 0.0972 0.8767 0.6259  0.68
F 0.5000 0.5000 0.5000  0.63
F 0.9028 0.1233 0.3741  0.68
F 0.1233 0.3741 0.9028  0.68
F 0.6259 0.0972 0.8767  0.68

Summary:
Space-group type: R-3 (148)
Raw total energy (eV/atom): -2.59
Total magnetization (μB per formula unit): 30.0
Crystal system: trigonal


## Rb2O2F (PBE-GGA)

Data for Rb2O2F after structural relaxation.

a = 3.7711 Å, b = 6.9263 Å, c = 9.5098 Å
α = 90.00°, β = 90.00°, γ = 105.80°
Each line ends with the local moment (μB).
Fractional coordinates of all 10 atoms:
Rb 0.2016 0.4032 0.0643  0.00
Rb 0.9937 0.9874 0.8203  0.00
Rb 0.7984 0.5968 0.5643  0.00
Rb 0.0063 0.0126 0.3203  0.00
O 0.7865 0.5730 0.2638  0.41
O 0.3089 0.6177 0.8135  0.39
O 0.2135 0.4270 0.7638  0.41
O 0.6911 0.3823 0.3135  0.39
F 0.5441 0.0882 0.0235  0.00
F 0.4559 0.9118 0.5235  0.00

Summary:
Space-group type: Cmc2_1 (36)
Raw total energy (eV/atom): -4.23
Total magnetization (μB per formula unit): 1.0
Crystal system: orthorhombic


## RbO4F (PBE-GGA)

Data for RbO4F after structural relaxation.

a = 7.3054 Å, b = 7.5662 Å, c = 7.0499 Å
α = 47.31°, β = 147.63°, γ = 148.87°
Each line ends with the local moment (μB).
Fractional coordinates of all 6 atoms:
Rb 0.0000 0.5000 0.5000  0.00
O 0.6123 0.8645 0.3369  0.39
O 0.3877 0.1355 0.6631  0.39
O 0.3986 0.2592 0.7310  0.39
O 0.6014 0.7408 0.2690  0.39
F 0.0000 0.0000 0.0000  0.12

Summary:
Space-group type: P-1 (2)
Raw total energy (eV/atom): -4.56
Total magnetization (μB per formula unit): 2.1
Crystal system: triclinic


## Rb8O2F (PBE-GGA)

Data for Rb8O2F after structural relaxation.

a = 7.2461 Å, b = 9.2525 Å, c = 9.2525 Å
α = 83.20°, β = 87.25°, γ = 87.25°
Fractional coordinates of all 11 atoms:
Rb 0.2279 0.2552 0.9417
Rb 0.7721 0.0583 0.7448
Rb 0.2672 0.8219 0.8219
Rb 0.7328 0.1781 0.1781
Rb 0.2279 0.9417 0.2552
Rb 0.7721 0.7448 0.0583
Rb 0.7214 0.6328 0.6328
Rb 0.2786 0.3672 0.3672
O 0.6207 0.8140 0.8140
O 0.3793 0.1860 0.1860
F 0.0000 0.0000 0.0000

Summary:
Space-group type: C2/m (12)
Raw total energy (eV/atom): -2.73
Total magnetization (μB per formula unit): 0.0
Crystal system: monoclinic


## Rb8O3F2 (PBE-GGA)

Data for Rb8O3F2 after structural relaxation.

a = 7.2443 Å, b = 8.2599 Å, c = 8.0138 Å
α = 121.02°, β = 100.12°, γ = 90.00°
Each line ends with the local moment (μB).
Fractional coordinates of all 13 atoms:
Rb 0.1102 0.3933 0.7866  0.00
Rb 0.8898 0.6067 0.2134  0.00
Rb 0.1348 0.9017 0.8034  0.00
Rb 0.8652 0.0983 0.1966  0.00
Rb 0.3671 0.8990 0.2414  0.00
Rb 0.3671 0.3425 0.2414  0.00
Rb 0.6329 0.6575 0.7586  0.00
Rb 0.6329 0.1010 0.7586  0.00
O 0.5000 0.0000 0.0000  0.09
O 0.0000 0.2548 0.0000  0.07
O 0.0000 0.7452 0.0000  0.07
F 0.5873 0.7101 0.4202  0.00
F 0.4127 0.2899 0.5798  0.00

Summary:
Space-group type: C2/m (12)
Raw total energy (eV/atom): -3.46
Total magnetization (μB per formula unit): 0.3
Crystal system: monoclinic


## RbO6F2 (PBE-GGA)

Data for RbO6F2 after structural relaxation.

a = 4.3991 Å, b = 4.9090 Å, c = 9.6451 Å
α = 91.27°, β = 97.12°, γ = 126.89°
Each line ends with the local moment (μB).
Fractional coordinates of all 9 atoms:
Rb 0.0000 0.0000 0.0000  0.00
O 0.2422 0.5857 0.7242  0.63
O 0.7578 0.4143 0.2758  0.63
O 0.0731 0.4751 0.2909  0.64
O 0.1608 0.0487 0.4907  0.81
O 0.8392 0.9513 0.5093  0.81
O 0.9269 0.5249 0.7091  0.64
F 0.6336 0.2978 0.8729  -0.04
F 0.3664 0.7022 0.1271  -0.04

Summary:
Space-group type: P-1 (2)
Raw total energy (eV/atom): -4.39
Total magnetization (μB per formula unit): 5.0
Crystal system: triclinic


## Rb5O2F (PBE-GGA)

Data for Rb5O2F after structural relaxation.

a = 5.4238 Å, b = 7.5709 Å, c = 13.8987 Å
α = 90.00°, β = 90.00°, γ = 110.99°
Each line ends with the local moment (μB).
Fractional coordinates of all 16 atoms:
Rb 0.9507 0.9014 0.8882  0.00
Rb 0.9507 0.9014 0.6118  0.00
Rb 0.3036 0.6072 0.4346  0.00
Rb 0.3036 0.6072 0.0654  0.00
Rb 0.7816 0.5631 0.2500  0.00
Rb 0.2184 0.4369 0.7500  0.00
Rb 0.6964 0.3928 0.5654  0.00
Rb 0.6964 0.3928 0.9346  0.00
Rb 0.0493 0.0986 0.1118  0.00
Rb 0.0493 0.0986 0.3882  0.00
O 0.8628 0.7256 0.4374  0.07
O 0.8628 0.7256 0.0626  0.07
O 0.1372 0.2744 0.5626  0.07
O 0.1372 0.2744 0.9374  0.07
F 0.8001 0.6001 0.7500  0.00
F 0.1999 0.3999 0.2500  0.00

Summary:
Space-group type: Cmcm (63)
Raw total energy (eV/atom): -3.41
Total magnetization (μB per formula unit): 0.2
Crystal system: orthorhombic


## Rb2O2F (PBE-GGA)

Data for Rb2O2F after structural relaxation.

a = 7.3945 Å, b = 7.3945 Å, c = 3.6821 Å
α = 90.00°, β = 90.00°, γ = 90.00°
Each line ends with the local moment (μB).
Fractional coordinates of all 10 atoms:
O 0.4352 0.9352 0.0000  0.39
O 0.9352 0.5648 0.0000  0.39
O 0.5648 0.0648 0.0000  0.39
O 0.0648 0.4352 0.0000  0.39
Rb 0.2182 0.7182 0.5000  0.00
Rb 0.7182 0.7818 0.5000  0.00
Rb 0.7818 0.2818 0.5000  0.00
Rb 0.2818 0.2182 0.5000  0.00
F 0.0000 0.0000 0.0000  0.03
F 0.5000 0.5000 0.0000  0.03

Summary:
Space-group type: P4/mbm (127)
Raw total energy (eV/atom): -4.21
Total magnetization (μB per formula unit): 1.0
Crystal system: tetragonal


no.,E_form (uncorrected) (kJ/mol of formula units)
1,-782
2,-901
3,-575
4,-1490
5,2093
6,-719
7,-453
8,-1010
9,-1799
10,-489
11,-1026
12,-705